# Pm2HgOsO8, optimized geometry, DFT PBE-GGA
data_Pm2HgOsO8
_chemical_formula_sum 'Pm2 Hg1 Os1 O8'
_symmetry_space_group_name_H-M 'P 1'
_symmetry_Int_Tables_number 1
_cell_length_a 4.8226
_cell_length_b 4.8241
_cell_length_c 7.6016
_cell_angle_alpha 87.08
_cell_angle_beta 87.08
_cell_angle_gamma 93.98
loop_
_symmetry_equiv_pos_as_xyz
'x,y,z'
loop_
_atom_site_label
_atom_site_fract_x
_atom_site_fract_y
_atom_site_fract_z
Pm1 0.4523 0.4524 0.7493
Pm2 0.5477 0.5476 0.2507
Hg1 0.0000 0.0000 0.5000
Os1 0.0000 0.0000 0.0000
O1 0.1314 0.7628 0.1769
O2 0.7236 0.7243 0.9594
O3 0.7633 0.1318 0.1770
O4 0.8686 0.2372 0.8231
O5 0.2764 0.2757 0.0406
O6 0.2367 0.8682 0.8230
O7 0.6939 0.6941 0.5173
O8 0.3061 0.3059 0.4827
# Total energy ... -6.9048 eV/atom
# Formation energy (no corrections) ... -1.85 eV/atom

# Nd3Pd2, optimized geometry, DFT PBE-GGA
data_Nd3Pd2
_chemical_formula_sum 'Nd6 Pd4'
_symmetry_space_group_name_H-M 'P 1'
_symmetry_Int_Tables_number 1
_cell_length_a 7.1249
_cell_length_b 7.1249
_cell_length_c 7.8072
_cell_angle_alpha 62.85
_cell_angle_beta 62.85
_cell_angle_gamma 60.00
loop_
_symmetry_equiv_pos_as_xyz
'x,y,z'
loop_
_atom_site_label
_atom_site_fract_x
_atom_site_fract_y
_atom_site_fract_z
Nd1 0.1235 0.7500 0.7500
Nd2 0.7500 0.3765 0.7500
Nd3 0.3765 0.1235 0.7500
Nd4 0.2500 0.6235 0.2500
Nd5 0.6235 0.8765 0.2500
Nd6 0.8765 0.2500 0.2500
Pd1 0.8194 0.8194 0.5418
Pd2 0.3194 0.3194 0.0418
Pd3 0.1806 0.1806 0.4582
Pd4 0.6806 0.6806 0.9582
# ΔH_f (0 K) ... -255 kJ/mol of formula units
# Total energy ... -5.4666 eV/atom
# Density of states at the Fermi level ... 7.9 states/eV per cell

# HoMgSnPb, optimized geometry, DFT PBE-GGA
data_HoMgSnPb
_chemical_formula_sum 'Ho1 Mg1 Sn1 Pb1'
_symmetry_space_group_name_H-M 'P 1'
_symmetry_Int_Tables_number 1
_cell_length_a 4.4127
_cell_length_b 4.8413
_cell_length_c 4.7856
_cell_angle_alpha 90.00
_cell_angle_beta 90.00
_cell_angle_gamma 90.00
loop_
_symmetry_equiv_pos_as_xyz
'x,y,z'
loop_
_atom_site_label
_atom_site_fract_x
_atom_site_fract_y
_atom_site_fract_z
Ho1 0.5000 0.0000 0.5000
Mg1 0.5000 0.5000 0.0000
Sn1 0.0000 0.0000 0.0000
Pb1 0.0000 0.5000 0.5000
# ΔH_f (0 K) ... -148 kJ/mol of formula units
# Total energy ... -3.8541 eV/atom
# Density of states at the Fermi level ... 2.1 states/eV per cell

# GaPd2Br, optimized geometry, DFT PBE-GGA
data_GaPd2Br
_chemical_formula_sum 'Ga1 Pd2 Br1'
_symmetry_space_group_name_H-M 'P 1'
_symmetry_Int_Tables_number 1
_cell_length_a 4.6047
_cell_length_b 4.6047
_cell_length_c 4.6047
_cell_angle_alpha 60.00
_cell_angle_beta 60.00
_cell_angle_gamma 60.00
loop_
_symmetry_equiv_pos_as_xyz
'x,y,z'
loop_
_atom_site_label
_atom_site_fract_x
_atom_site_fract_y
_atom_site_fract_z
Ga1 0.0000 0.0000 0.0000
Br1 0.5000 0.5000 0.5000
Pd1 0.2500 0.2500 0.2500
Pd2 0.7500 0.7500 0.7500
# Total energy ... -3.8365 eV/atom
# Formation energy (no corrections) ... -0.07 eV/atom
# Density of states at the Fermi level ... 0.9 states/eV per cell

Number 1: V 14.66 Å³ per atom. Number 2: V 29.17 Å³ per atom. Number 3: V 25.56 Å³ per atom. Number 4: V 17.26 Å³ per atom.